This record from OQMD via LeMat-Bulk describes a relaxed structure of LuReIr. The functional is PBE.

Unit cell a=4.464 b=4.464 c=4.464 alpha=60.00 beta=60.00 gamma=60.00
Fractional coordinates of all 3 atoms:
Ir 0.250 0.250 0.250
Lu 0.000 0.000 0.000
Re 0.750 0.750 0.750

Output
ΔE_f ... 1.128 eV per atom
Excess energy over the best structure of this formula in the dataset ... 78.0 kJ/mol of atoms
Volume ... 20.972 Å³ per atom
Uncorrected energy ... -22.42 eV/cell

---

This record from OQMD via LeMat-Bulk describes a relaxed structure of NaAgF5. The functional is PBE.

Unit cell a=4.973 b=4.973 c=8.142 alpha=109.83 beta=109.83 gamma=68.39
Fractional coordinates of all 14 atoms:
Ag 0.000 0.000 0.000
Ag 0.000 0.000 0.500
F 0.420 0.789 0.019
F 0.066 0.382 0.137
F 0.060 0.940 0.250
F 0.618 0.934 0.363
F 0.211 0.580 0.481
F 0.789 0.420 0.519
F 0.382 0.066 0.637
F 0.940 0.060 0.750
F 0.934 0.618 0.863
F 0.580 0.211 0.981
Na 0.500 0.500 0.250
Na 0.500 0.500 0.750

Output
Volume ... 12.195 Å³ per atom
Uncorrected energy ... -46.16 eV/cell

---

This record from OQMD via LeMat-Bulk describes a relaxed structure of NpIn. The functional is PBE.

Unit cell a=5.096 b=5.096 c=5.096 alpha=60.00 beta=60.00 gamma=60.00
Fractional coordinates of all 2 atoms:
In 0.000 0.000 0.000
Np 0.250 0.250 0.250

Output
Volume ... 46.776 Å³ per atom
Uncorrected energy ... -12.33 eV/cell